TaMnN: relaxed, GGA-PBE.

Cell lengths 5.2436, 5.2436, 8.9646 Å; angles 90.00, 90.00, 120.00 degrees
Fractional positions:
Ta1 0.0000 0.3236 0.0000
Ta2 0.0000 0.3236 0.5000
Ta3 0.3236 0.0000 0.0000
Ta4 0.3236 0.0000 0.5000
Ta5 0.6764 0.6764 0.0000
Ta6 0.6764 0.6764 0.5000
Mn1 0.0174 0.6565 0.2500
Mn2 0.3435 0.3609 0.2500
Mn3 0.3609 0.3435 0.7500
Mn4 0.6391 0.9826 0.2500
Mn5 0.6565 0.0174 0.7500
Mn6 0.9826 0.6391 0.7500
N1 0.0000 0.0000 0.2500
N2 0.0000 0.0000 0.7500
N3 0.3333 0.6667 0.1199
N4 0.3333 0.6667 0.3801
N5 0.6667 0.3333 0.6199
N6 0.6667 0.3333 0.8801

Computed properties:
The density is 11664 kg/m3. The value obtained for the uncorrected formation energy is -0.265 eV/atom. As for the crystal system: hexagonal.

Ta2MnN: relaxed, GGA-PBE.

Cell lengths 2.9222, 2.9222, 23.7528 Å; angles 90.00, 90.00, 120.00 degrees
Fractional positions:
Ta1 0.0000 0.0000 0.1074
Ta2 0.0000 0.0000 0.8926
Ta3 0.3333 0.6667 0.5592
Ta4 0.3333 0.6667 0.7741
Ta5 0.6667 0.3333 0.2259
Ta6 0.6667 0.3333 0.4408
Mn1 0.0000 0.0000 0.0000
Mn2 0.3333 0.6667 0.6667
Mn3 0.6667 0.3333 0.3333
N1 0.0000 0.0000 0.5000
N2 0.3333 0.6667 0.1667
N3 0.6667 0.3333 0.8333

Computed properties:
The density is 12219 kg/m3. The value obtained for the uncorrected formation energy is 0.009 eV/atom. As for the crystal system: trigonal.

TaMnN3: relaxed, GGA-PBE.

Cell lengths 3.6193, 3.6193, 3.6193 Å; angles 90.00, 90.00, 90.00 degrees
Fractional positions:
Ta1 0.0000 0.0000 0.0000
Mn1 0.5000 0.5000 0.5000
N1 0.0000 0.5000 0.5000
N2 0.5000 0.0000 0.5000
N3 0.5000 0.5000 0.0000

Computed properties:
The density is 9734 kg/m3. The value obtained for the uncorrected formation energy is 0.549 eV/atom. As for the crystal system: cubic.

TaMnN2: relaxed, GGA-PBE.

Cell lengths 4.4168, 4.4168, 9.4968 Å; angles 90.00, 90.00, 90.00 degrees
Fractional positions:
Ta1 0.0000 0.0000 0.0000
Ta2 0.0000 0.5000 0.2500
Ta3 0.5000 0.0000 0.7500
Ta4 0.5000 0.5000 0.5000
Mn1 0.0000 0.0000 0.5000
Mn2 0.0000 0.5000 0.7500
Mn3 0.5000 0.0000 0.2500
Mn4 0.5000 0.5000 0.0000
N1 0.2238 0.2500 0.6250
N2 0.2500 0.7238 0.8750
N3 0.2500 0.7762 0.3750
N4 0.2762 0.2500 0.1250
N5 0.7238 0.7500 0.1250
N6 0.7500 0.2238 0.3750
N7 0.7500 0.2762 0.8750
N8 0.7762 0.7500 0.6250

Computed properties:
The density is 9461 kg/m3. The value obtained for the uncorrected formation energy is -0.477 eV/atom. As for the crystal system: tetragonal.

Ta3Mn3N: relaxed, GGA-PBE.

Cell lengths 8.0286, 8.0286, 8.0286 Å; angles 60.00, 60.00, 60.00 degrees
Fractional positions:
Ta1 0.0706 0.0706 0.6794
Ta2 0.0706 0.6794 0.0706
Ta3 0.0706 0.6794 0.6794
Ta4 0.3206 0.3206 0.9294
Ta5 0.3206 0.9294 0.3206
Ta6 0.3206 0.9294 0.9294
Ta7 0.6794 0.0706 0.0706
Ta8 0.6794 0.0706 0.6794
Ta9 0.6794 0.6794 0.0706
Ta10 0.9294 0.3206 0.3206
Ta11 0.9294 0.3206 0.9294
Ta12 0.9294 0.9294 0.3206
Mn1 0.0000 0.5000 0.5000
Mn2 0.2976 0.2976 0.2976
Mn3 0.2976 0.2976 0.6071
Mn4 0.2976 0.6071 0.2976
Mn5 0.3929 0.7024 0.7024
Mn6 0.5000 0.0000 0.5000
Mn7 0.5000 0.5000 0.0000
Mn8 0.5000 0.5000 0.5000
Mn9 0.6071 0.2976 0.2976
Mn10 0.7024 0.3929 0.7024
Mn11 0.7024 0.7024 0.3929
Mn12 0.7024 0.7024 0.7024
N1 0.0000 0.0000 0.0000
N2 0.0000 0.0000 0.5000
N3 0.0000 0.5000 0.0000
N4 0.5000 0.0000 0.0000

Computed properties:
The density is 13099 kg/m3. The value obtained for the uncorrected formation energy is -0.530 eV/atom. As for the crystal system: cubic.

Ta3MnN: relaxed, GGA-PBE.

Cell lengths 4.2251, 4.2251, 4.2251 Å; angles 90.00, 90.00, 90.00 degrees
Fractional positions:
Ta1 0.0000 0.0000 0.5000
Ta2 0.0000 0.5000 0.0000
Ta3 0.5000 0.0000 0.0000
Mn1 0.5000 0.5000 0.5000
N1 0.0000 0.0000 0.0000

Computed properties:
The density is 13469 kg/m3. The value obtained for the uncorrected formation energy is -0.347 eV/atom. As for the crystal system: cubic.

Ta2MnN2: relaxed, GGA-PBE.

Cell lengths 6.4828, 6.4828, 2.7838 Å; angles 90.00, 90.00, 90.00 degrees
Fractional positions:
Ta1 0.1545 0.3455 0.0000
Ta2 0.3455 0.8455 0.0000
Ta3 0.6545 0.1545 0.0000
Ta4 0.8455 0.6545 0.0000
Mn1 0.0000 0.0000 0.0000
Mn2 0.5000 0.5000 0.0000
N1 0.1358 0.6358 0.5000
N2 0.3642 0.1358 0.5000
N3 0.6358 0.8642 0.5000
N4 0.8642 0.3642 0.5000

Computed properties:
The density is 12628 kg/m3. The value obtained for the uncorrected formation energy is 0.279 eV/atom. As for the crystal system: tetragonal.

TaMnN2: relaxed, GGA-PBE.

Cell lengths 3.1550, 3.1550, 17.9922 Å; angles 90.00, 90.00, 120.00 degrees
Fractional positions:
Ta1 0.0000 0.0000 0.0000
Ta2 0.3333 0.6667 0.6667
Ta3 0.6667 0.3333 0.3333
Mn1 0.0000 0.0000 0.5000
Mn2 0.3333 0.6667 0.1667
Mn3 0.6667 0.3333 0.8333
N1 0.0000 0.0000 0.3929
N2 0.0000 0.0000 0.6071
N3 0.3333 0.6667 0.0596
N4 0.3333 0.6667 0.2738
N5 0.6667 0.3333 0.7262
N6 0.6667 0.3333 0.9404

Computed properties:
The density is 8476 kg/m3. The value obtained for the uncorrected formation energy is -0.565 eV/atom. As for the crystal system: trigonal.

Ta2MnN2: relaxed, GGA-PBE.

Cell lengths 3.8048, 3.8048, 9.2324 Å; angles 90.00, 90.00, 90.00 degrees
Fractional positions:
Ta1 0.0000 0.0000 0.1530
Ta2 0.0000 0.0000 0.8470
Ta3 0.5000 0.5000 0.3470
Ta4 0.5000 0.5000 0.6530
Mn1 0.0000 0.0000 0.5000
Mn2 0.5000 0.5000 0.0000
N1 0.0000 0.5000 0.2500
N2 0.0000 0.5000 0.7500
N3 0.5000 0.0000 0.2500
N4 0.5000 0.0000 0.7500

Computed properties:
The density is 11054 kg/m3. The value obtained for the uncorrected formation energy is -0.323 eV/atom. As for the crystal system: tetragonal.

TaMnN2: relaxed, GGA-PBE.

Cell lengths 5.3024, 5.3024, 5.3024 Å; angles 90.00, 90.00, 90.00 degrees
Fractional positions:
Ta1 0.0000 0.0000 0.0000
Ta2 0.0000 0.5000 0.5000
Ta3 0.5000 0.0000 0.5000
Ta4 0.5000 0.5000 0.0000
Mn1 0.0000 0.0000 0.5000
Mn2 0.0000 0.5000 0.0000
Mn3 0.5000 0.0000 0.0000
Mn4 0.5000 0.5000 0.5000
N1 0.2500 0.2500 0.2500
N2 0.2500 0.2500 0.7500
N3 0.2500 0.7500 0.2500
N4 0.2500 0.7500 0.7500
N5 0.7500 0.2500 0.2500
N6 0.7500 0.2500 0.7500
N7 0.7500 0.7500 0.2500
N8 0.7500 0.7500 0.7500

Computed properties:
The density is 11758 kg/m3. The value obtained for the uncorrected formation energy is -0.099 eV/atom. As for the crystal system: cubic.

Ta2MnN: relaxed, GGA-PBE.

Cell lengths 6.2252, 6.2252, 5.9858 Å; angles 90.00, 90.00, 90.00 degrees
Fractional positions:
Ta1 0.1820 0.2500 0.1250
Ta2 0.2500 0.6820 0.3750
Ta3 0.2500 0.8180 0.8750
Ta4 0.3180 0.2500 0.6250
Ta5 0.6820 0.7500 0.6250
Ta6 0.7500 0.1820 0.8750
Ta7 0.7500 0.3180 0.3750
Ta8 0.8180 0.7500 0.1250
Mn1 0.0000 0.0000 0.5000
Mn2 0.0000 0.5000 0.7500
Mn3 0.5000 0.0000 0.2500
Mn4 0.5000 0.5000 0.0000
N1 0.0000 0.0000 0.0000
N2 0.0000 0.5000 0.2500
N3 0.5000 0.0000 0.7500
N4 0.5000 0.5000 0.5000

Computed properties:
The density is 12337 kg/m3. The value obtained for the uncorrected formation energy is 0.041 eV/atom. As for the crystal system: tetragonal.

TaMnTe2N: relaxed, GGA-PBE.

Cell lengths 5.5679, 5.5679, 3.9011 Å; angles 90.00, 90.00, 90.00 degrees
Fractional positions:
Ta1 0.0000 0.0000 0.0000
Mn1 0.5000 0.5000 0.5000
Te1 0.0000 0.5000 0.0000
Te2 0.5000 0.0000 0.0000
N1 0.0000 0.0000 0.5000

Computed properties:
The density is 6935 kg/m3. The value obtained for the uncorrected formation energy is 0.275 eV/atom. As for the crystal system: tetragonal.